# 1
Entry from the Alexandria database: an optimized crystal structure of Pu7Sb3N2 (PBE-GGA).

The structure belongs to space group I4/mmm (No. 139); the cell edges are 4.713, 4.713 and 25.644 Å and the angles 90.00°, 90.00° and 90.00°. Symmetry generates all atoms from Pu at (0.000, 0.000, 0.000), Pu at (0.000, 0.000, 0.193), Pu at (0.000, 0.500, 0.091), Sb at (0.000, 0.000, 0.319), Sb at (0.000, 0.000, 0.500) and N at (0.000, 0.000, 0.101).

The calculation puts the volume at 570 Å³ per cell. Its raw formation energy is -875 kJ/mol of formula units.

# 2
Entry from the Alexandria database: an optimized crystal structure of PuSbN (PBE-GGA).

The structure belongs to space group P-6m2 (No. 187); the cell edges are 3.7041, 3.7041 and 5.2767 Å and the angles 90.00°, 90.00° and 120.00°. Symmetry generates all atoms from Pu at (0.0000, 0.0000, 0.0000), Sb at (0.6667, 0.3333, 0.5000) and N at (0.3333, 0.6667, 0.0000).

The calculation puts the volume at 63 Å³ per cell. Its offset from the most stable computed form is 0.387 eV/atom. Its raw formation energy is -159 kJ/mol of formula units.

# 3
Entry from the Alexandria database: an optimized crystal structure of Pu2SbN2 (PBE-GGA).

The structure belongs to space group I4/mmm (No. 139); the cell edges are 3.849, 3.849 and 12.648 Å and the angles 90.00°, 90.00° and 90.00°. Symmetry generates all atoms from Pu at (0.000, 0.000, 0.162), Sb at (0.000, 0.000, 0.500) and N at (0.000, 0.500, 0.250).

The calculation puts the volume at 187 Å³ per cell. Its raw formation energy is -523 kJ/mol of formula units.

# 4
Entry from the Alexandria database: an optimized crystal structure of PuSbN2 (PBE-GGA).

The structure belongs to space group R-3m (No. 166, hexagonal axes); the cell edges are 3.5130, 3.5130 and 19.7701 Å and the angles 90.00°, 90.00° and 120.00°. Symmetry generates all atoms from Pu at (0.0000, 0.0000, 0.0000), Sb at (0.0000, 0.0000, 0.5000) and N at (0.0000, 0.0000, 0.3820).

The calculation puts the volume at 211 Å³ per cell. Its raw formation energy is -183 kJ/mol of formula units.

# 5
Entry from the Alexandria database: an optimized crystal structure of PuSbN (PBE-GGA).

The structure belongs to space group P4/nmm (No. 129, origin choice 2); the cell edges are 3.961, 3.961 and 7.591 Å and the angles 90.00°, 90.00° and 90.00°. Symmetry generates all atoms from Pu at (0.250, 0.250, 0.140), Sb at (0.250, 0.250, 0.585) and N at (0.250, 0.750, 0.000).

The calculation puts the volume at 119 Å³ per cell. Its offset from the most stable computed form is 0.000 eV/atom. Its raw formation energy is -271 kJ/mol of formula units.

# 6
Entry from the Alexandria database: an optimized crystal structure of Sm4Pu2Sb3N2 (PBE-GGA).

The structure belongs to space group I4/mmm (No. 139); the cell edges are 4.784, 4.784 and 25.375 Å and the angles 90.00°, 90.00° and 90.00°. Symmetry generates all atoms from Sm at (0.000, 0.500, 0.085), Pu at (0.000, 0.000, 0.192), Sb at (0.000, 0.000, 0.321), Sb at (0.000, 0.000, 0.500) and N at (0.000, 0.000, 0.106).

The calculation puts the volume at 581 Å³ per cell. Its raw formation energy is -1083 kJ/mol of formula units.